1.
A plane-wave DFT calculation with GGA-PBE was carried out for a relaxed structure of SmNbP2Rh5.

Calculated values
Electronic total energy in eV/atom: -7.347
Calculated formation energy in eV/f.u.: -3.8
Fermi-level density of states in states/eV/cell: 4.7
Space group: P4/mmm (123)

Lattice parameters (Å, degrees): 4.0320 4.0320 10.2584 90.00 90.00 90.00
Positions (direct):
P1 0.0000 0.0000 0.7179
P2 0.0000 0.0000 0.2821
Rh1 0.5000 0.0000 0.1725
Rh2 0.5000 0.0000 0.8275
Rh3 0.0000 0.5000 0.8275
Rh4 0.0000 0.5000 0.1725
Rh5 0.0000 0.0000 0.5000
Sm1 0.5000 0.5000 0.5000
Nb1 0.0000 0.0000 0.0000

---

2.
A plane-wave DFT calculation with GGA-PBE was carried out for a relaxed structure of BaCoH5.

Calculated values
Electronic total energy in eV/atom: -3.875
Fermi-level density of states in states/eV/cell: 3.6
Space group: Immm (71)

Lattice parameters (Å, degrees): 3.5489 4.9518 4.9518 71.18 69.00 69.00
Last column: magnetic moment on the atom in μB.
Positions (direct):
H1 0.8515 0.3413 0.9557  0.01
H2 0.1485 0.0443 0.6587  0.01
H3 0.8515 0.9557 0.3413  0.01
H4 0.1485 0.6587 0.0443  0.01
H5 0.5000 0.0000 0.0000  0.01
Ba1 0.5000 0.5000 0.5000  0.01
Co1 0.0000 0.0000 0.0000  -0.66

---

3.
A plane-wave DFT calculation with GGA-PBE was carried out for a relaxed structure of CuSi2Hg2.

Calculated values
Electronic total energy in eV/atom: -2.731
Excess energy over the best structure of this formula in the dataset in meV per atom: 139
Fermi-level density of states in states/eV/cell: 1.5
Space group: I4/mmm (139)

Lattice parameters (Å, degrees): 3.4042 3.4042 8.6849 78.70 78.70 90.00
Positions (direct):
Si1 0.2500 0.7500 0.5000
Si2 0.7500 0.2500 0.5000
Hg1 0.4062 0.4062 0.1875
Hg2 0.5938 0.5938 0.8125
Cu1 0.0000 0.0000 0.0000

---

4.
A plane-wave DFT calculation with GGA-PBE was carried out for a relaxed structure of CaTi2Tl2.

Calculated values
Electronic total energy in eV/atom: -4.398
Calculated formation energy in eV/f.u.: 0.5
Excess energy over the best structure of this formula in the dataset in meV per atom: 42
Fermi-level density of states in states/eV/cell: 5.3
Space group: I4/mmm (139)

Lattice parameters (Å, degrees): 4.1490 4.1490 7.6845 74.34 74.34 90.00
Last column: magnetic moment on the atom in μB.
Positions (direct):
Ti1 0.2500 0.7500 0.5000  1.17
Ti2 0.7500 0.2500 0.5000  1.17
Ca1 0.0000 0.0000 0.0000  0.02
Tl1 0.6060 0.6060 0.7880  0.03
Tl2 0.3940 0.3940 0.2120  0.03

---

The calculation returns the following V values, one per record and in order: 18.53, 10.56, 19.34, 24.45 Å³ per atom.
The calculation returns the following M_tot values, one per record and in order: 0.00, 0.58, 0.00, 3.23 μB/f.u..